No. 1
Compound: PrY3Ho2Se6
Source: Alexandria via LeMat-Bulk
Functional: PBE
Structure: optimized geometry Values from VASP.

Computed properties:
spin magnetization	0.00	μB/atom
density of states at the Fermi level	5.3	states/eV per cell
space group	C2/m
E_tot	-6.28	eV per atom

Quantum ESPRESSO input file:
```
&SYSTEM
  ibrav = 0, nat = 12, ntyp = 4
/
ATOMIC_SPECIES
Pr 140.91 Pr.upf
Y 88.91 Y.upf
Ho 164.93 Ho.upf
Se 78.96 Se.upf
CELL_PARAMETERS angstrom
3.5487 -6.1746 0.0000
3.5487 6.1746 0.0000
-2.3680 0.0000 6.7046
ATOMIC_POSITIONS crystal
Pr 0.0000 0.0000 0.0000
Y 0.1578 0.8422 0.5000
Y 0.5000 0.5000 0.5000
Y 0.8422 0.1578 0.5000
Ho 0.3348 0.6652 0.0000
Ho 0.6652 0.3348 0.0000
Se 0.0845 0.4312 0.2552
Se 0.2627 0.2627 0.7513
Se 0.4312 0.0845 0.2552
Se 0.5688 0.9155 0.7448
Se 0.7373 0.7373 0.2487
Se 0.9155 0.5688 0.7448
```

---

No. 2
Compound: TlGa2HgIr
Source: Alexandria via LeMat-Bulk
Functional: PBE
Structure: optimized geometry Values from VASP.

Computed properties:
spin magnetization	0.00	μB/atom
energy of formation from the pure elements	-135.0	meV/atom
density of states at the Fermi level	1.4	states/eV per cell
space group	P4/mmm
E_tot	-3.65	eV per atom

Quantum ESPRESSO input file:
```
&SYSTEM
  ibrav = 0, nat = 5, ntyp = 4
/
ATOMIC_SPECIES
Tl 204.38 Tl.upf
Ga 69.72 Ga.upf
Hg 200.59 Hg.upf
Ir 192.22 Ir.upf
CELL_PARAMETERS angstrom
4.8625 0.0000 0.0000
0.0000 4.8625 0.0000
0.0000 0.0000 5.3565
ATOMIC_POSITIONS crystal
Tl 0.0000 0.0000 0.0000
Ga 0.0000 0.5000 0.5000
Ga 0.5000 0.0000 0.5000
Hg 0.5000 0.5000 0.0000
Ir 0.0000 0.0000 0.5000
```